5
Lattice="6.9139 0.0000 0.0000 0.0000 6.9139 0.0000 0.0000 0.0000 4.6463" Properties=species:S:1:pos:R:3 comment="PBE KRb2AsPt, optimized geometry" crystal_system=tetragonal density_g_cm3=3.59 magmom_total_mub_per_atom=0.000 space_group=P4/mmm formation_enthalpy_0k_kcal_per_mol_atoms=-3.52 dos_at_fermi_per_ev_atom=0.37 de_polymorph_kj_per_mol_atoms=2.5 pbc="T T T"
K 0.0000 0.0000 0.0000
Rb 0.0000 3.4570 2.3231
Rb 3.4570 0.0000 2.3231
As 3.4570 3.4570 2.3231
Pt 3.4570 3.4570 0.0000